Entry from Alexandria via LeMat-Bulk: Pu5Ge5Pt2 after structural relaxation (PBE).

Values from the calculation:
* E: -0.3478 hartree per atom
* DOS at the Fermi energy: 3.669 states/eV/atom
* size of the total moment: 16.08 μB/cell

```
Pu5Ge5Pt2
1.0
7.586 -2.231 0.000
7.586 2.231 0.000
-6.066 0.000 7.587
Pu Ge Pt
5 5 2
Cartesian
0.000 0.000 0.000 Pu
-0.863 0.000 3.259 Pu
-2.362 0.000 6.410 Pu
11.468 0.000 1.177 Pu
9.969 0.000 4.327 Pu
2.181 0.000 2.089 Ge
5.866 0.000 1.207 Ge
4.553 0.000 3.793 Ge
3.240 0.000 6.380 Ge
6.925 0.000 5.498 Ge
0.712 0.000 5.706 Pt
8.393 0.000 1.880 Pt
```

Entry from Alexandria via LeMat-Bulk: Pu2Ge5Pt3 after structural relaxation (PBE).

Values from the calculation:
* E: -0.2794 hartree per atom
* DOS at the Fermi energy: 2.177 states/eV/atom
* size of the total moment: 0.22 μB/cell

```
Pu2Ge5Pt3
1.0
2.186 -12.463 0.000
2.186 12.463 0.000
0.000 0.000 6.904
Pu Ge Pt
4 10 6
Cartesian
2.186 12.001 3.452 Pu
2.186 4.404 3.509 Pu
2.186 -4.404 0.057 Pu
2.186 -12.001 0.000 Pu
2.186 9.907 5.918 Ge
2.186 7.314 2.107 Ge
2.186 7.254 5.028 Ge
2.186 2.931 6.749 Ge
2.186 1.203 4.612 Ge
2.186 -1.203 1.160 Ge
2.186 -2.931 3.297 Ge
2.186 -7.254 1.576 Ge
2.186 -7.314 5.559 Ge
2.186 -9.907 2.466 Ge
2.186 9.816 1.603 Pt
2.186 5.462 0.151 Pt
2.186 1.410 1.965 Pt
2.186 -1.410 5.417 Pt
2.186 -5.462 3.603 Pt
2.186 -9.816 5.055 Pt
```

Q: Look up the DOS at the Fermi energy of the second one.
A: 2.177 states/eV/atom

Q: Which of these has the lowest size of the total moment?
A: Pu2Ge5Pt3

Q: The highest E belongs to which entry?
A: Pu2Ge5Pt3

Q: Which of these has the highest DOS at the Fermi energy?
A: Pu5Ge5Pt2